# Ta2MnSiN, optimized geometry, DFT PBE
data_Ta2MnSiN
_chemical_formula_sum 'Ta2 Mn1 Si1 N1'
_space_group_name_H-M_alt 'P 4/m m m'
_space_group_IT_number 123
_space_group_name_Hall '-P 4 2'
_cell_length_a 4.8552
_cell_length_b 4.8552
_cell_length_c 3.2989
_cell_angle_alpha 90.00
_cell_angle_beta 90.00
_cell_angle_gamma 90.00
loop_
_atom_site_label
_atom_site_type_symbol
_atom_site_fract_x
_atom_site_fract_y
_atom_site_fract_z
_atom_site_occupancy
Ta1 Ta 0.0000 0.5000 0.0000 1
Mn1 Mn 0.0000 0.0000 0.5000 1
Si1 Si 0.5000 0.5000 0.0000 1
N1 N 0.5000 0.5000 0.5000 1
# formation energy (no corrections) = 563 kJ/mol of formula units
# total DFT energy (no corrections) = -8.158 eV/atom
# D(E_F) = 1.4043 states/eV per atom

# K4TcAg, optimized geometry, DFT PBE
data_K4TcAg
_chemical_formula_sum 'K16 Tc4 Ag4'
_space_group_name_H-M_alt 'F -4 3 m'
_space_group_IT_number 216
_space_group_name_Hall 'F -4 2 3'
_cell_length_a 10.0645
_cell_length_b 10.0645
_cell_length_c 10.0645
_cell_angle_alpha 90.00
_cell_angle_beta 90.00
_cell_angle_gamma 90.00
loop_
_atom_site_label
_atom_site_type_symbol
_atom_site_fract_x
_atom_site_fract_y
_atom_site_fract_z
_atom_site_occupancy
K1 K 0.1250 0.1250 0.1250 1
Tc1 Tc 0.2500 0.2500 0.7500 1
Ag1 Ag 0.0000 0.0000 0.5000 1
# energy of formation from the pure elements = 1121 meV per atom
# total DFT energy (no corrections) = -1.813 eV/atom
# D(E_F) = 1.2147 states/eV per atom

Question: What is the formula in the first record?
Answer: Ta2MnSiN

Question: The lowest D(E_F) belongs to which entry?
Answer: K4TcAg

Question: The highest total DFT energy (no corrections) belongs to which entry?
Answer: K4TcAg